Run P
Here is a geometry-optimized AlTlCd2 structure from Alexandria. Energies are from GGA-PBE.

Output
Calculated volume   99 Å³/f.u.
D(E_F)   3.5 states/eV per cell

a = 4.300 Å, b = 4.300 Å, c = 11.157 Å
α = 78.89°, β = 78.89°, γ = 90.00°
Sites, in units of the cell vectors:
Cd  0.875  0.861  0.750
Cd  0.611  0.125  0.250
Cd  0.375  0.389  0.750
Cd  0.139  0.625  0.250
Al  0.500  0.500  0.000
Al  0.250  0.750  0.500
Tl  0.750  0.250  0.500
Tl  0.000  0.000  0.000

Run Q
Here is a geometry-optimized AlTlCd2 structure from Alexandria. Energies are from GGA-PBE.

Output
Calculated volume   97 Å³/f.u.
D(E_F)   1.5 states/eV per cell

a = 4.759 Å, b = 3.535 Å, c = 5.873 Å
α = 78.84°, β = 90.00°, γ = 90.00°
Sites, in units of the cell vectors:
Tl  0.000  0.491  0.545
Al  0.500  0.949  0.732
Cd  0.000  0.827  0.024
Cd  0.500  0.233  0.198

Run R
Here is a geometry-optimized AlTlCd2 structure from Alexandria. Energies are from GGA-PBE.

Output
Calculated volume   96 Å³/f.u.
D(E_F)   1.4 states/eV per cell

a = 6.400 Å, b = 6.400 Å, c = 6.400 Å
α = 151.56°, β = 129.11°, γ = 59.33°
Sites, in units of the cell vectors:
Cd  0.975  0.975  0.000
Cd  0.525  0.525  0.000
Tl  0.250  0.750  0.500
Al  0.750  0.250  0.500

Run S
Here is a geometry-optimized AlTlCd2 structure from Alexandria. Energies are from GGA-PBE.

Output
Calculated volume   94 Å³/f.u.
D(E_F)   1.7 states/eV per cell

a = 5.554 Å, b = 5.554 Å, c = 5.554 Å
α = 131.38°, β = 131.38°, γ = 71.21°
Sites, in units of the cell vectors:
Cd  0.000  0.000  0.000
Cd  0.250  0.750  0.500
Tl  0.500  0.500  0.000
Al  0.750  0.250  0.500

run R is the most stable structure; the next one sits 9 meV per atom above it.

Run P
Here is a geometry-optimized AlTl2Cd2 structure from Alexandria. Energies are from GGA-PBE.

Output
Calculated volume   136 Å³/f.u.
D(E_F)   3.8 states/eV per cell

a = 8.071 Å, b = 8.071 Å, c = 4.186 Å
α = 90.00°, β = 90.00°, γ = 90.00°
Sites, in units of the cell vectors:
Tl  0.837  0.663  0.000
Tl  0.337  0.837  0.000
Tl  0.163  0.337  0.000
Tl  0.663  0.163  0.000
Cd  0.140  0.640  0.500
Cd  0.640  0.860  0.500
Cd  0.360  0.140  0.500
Cd  0.860  0.360  0.500
Al  0.500  0.500  0.000
Al  0.000  0.000  0.000

Run Q
Here is a geometry-optimized AlTl2Cd2 structure from Alexandria. Energies are from GGA-PBE.

Output
Calculated volume   134 Å³/f.u.
D(E_F)   5.9 states/eV per cell

a = 7.358 Å, b = 7.358 Å, c = 4.954 Å
α = 90.00°, β = 90.00°, γ = 90.00°
Sites, in units of the cell vectors:
Tl  0.170  0.670  0.500
Tl  0.330  0.170  0.500
Tl  0.670  0.830  0.500
Tl  0.830  0.330  0.500
Cd  0.642  0.142  0.000
Cd  0.142  0.358  0.000
Cd  0.358  0.858  0.000
Cd  0.858  0.642  0.000
Al  0.000  0.000  0.000
Al  0.500  0.500  0.000

run Q is the most stable structure; the next one sits 88 meV per atom above it.

Run P
Here is a geometry-optimized Tm5Al2Cd structure from Alexandria. Energies are from GGA-PBE.

Output
Calculated volume   203 Å³/f.u.
D(E_F)   17.8 states/eV per cell

a = 4.432 Å, b = 5.928 Å, c = 16.700 Å
α = 90.00°, β = 90.00°, γ = 111.95°
Sites, in units of the cell vectors:
Tm  0.955  0.910  0.900
Tm  0.955  0.910  0.600
Tm  0.459  0.917  0.250
Tm  0.541  0.083  0.750
Tm  0.342  0.683  0.457
Tm  0.658  0.317  0.543
Tm  0.342  0.683  0.043
Tm  0.045  0.090  0.100
Tm  0.045  0.090  0.400
Tm  0.658  0.317  0.957
Al  0.237  0.475  0.842
Al  0.763  0.525  0.342
Al  0.763  0.525  0.158
Al  0.237  0.475  0.658
Cd  0.818  0.636  0.750
Cd  0.182  0.364  0.250

Run Q
Here is a geometry-optimized Tm5Al2Cd structure from Alexandria. Energies are from GGA-PBE.

Output
Calculated volume   211 Å³/f.u.
D(E_F)   14.4 states/eV per cell

a = 7.628 Å, b = 7.628 Å, c = 9.050 Å
α = 114.93°, β = 114.93°, γ = 90.00°
Sites, in units of the cell vectors:
Tm  0.315  0.815  0.293
Tm  0.479  0.315  0.293
Tm  0.815  0.979  0.293
Tm  0.500  0.500  0.000
Tm  0.000  0.000  0.000
Tm  0.979  0.479  0.293
Tm  0.021  0.521  0.707
Tm  0.521  0.685  0.707
Tm  0.685  0.185  0.707
Tm  0.185  0.021  0.707
Al  0.377  0.877  0.000
Al  0.877  0.623  0.000
Al  0.123  0.377  0.000
Al  0.623  0.123  0.000
Cd  0.750  0.750  0.500
Cd  0.250  0.250  0.500

run Q is the most stable structure; the next one sits 104 meV per atom above it.